GGA-PBE La2GaPdS5, optimized geometry; M_tot = 0.00 μB/cell; symmetry = Cmc2_1 (36); uncorrected formation energy = -1.361 eV/atom; V = 22.17 Å³/atom
1.0
-0.3213 3.5400 -1.6341
-5.2128 -5.1061 -5.3536
-9.1155 2.2704 6.7103
S Ga Pd La
10 2 2 4
direct
0.6818 0.3636 0.8491 S
0.0406 0.0813 0.0550 S
0.3182 0.6364 0.3491 S
0.7080 0.4160 0.1616 S
0.5021 0.0041 0.7773 S
0.4979 0.9959 0.2773 S
0.3672 0.7345 0.9863 S
0.9594 0.9187 0.5550 S
0.2920 0.5840 0.6616 S
0.6328 0.2655 0.4863 S
0.5718 0.1437 0.9509 Ga
0.4282 0.8563 0.4509 Ga
0.7571 0.5141 0.5675 Pd
0.2429 0.4859 0.0675 Pd
0.8747 0.7494 0.7963 La
0.8797 0.7594 0.1800 La
0.1253 0.2506 0.2963 La
0.1203 0.2406 0.6800 La

=====

GGA-PBE Mg2NiPd9, optimized geometry; DFT formation energy = -3.6 eV/f.u.; M_tot = 0.77 μB/cell; symmetry = P4/mmm (123); V = 15.26 Å³/atom
1.0
-2.1697 2.3445 -2.2963
-0.8288 -3.0550 -2.3360
-9.5499 -2.4198 6.5530
Pd Mg Ni
9 2 1
direct
0.5000 0.5000 0.6702 Pd
0.5000 0.0000 0.8403 Pd
0.5000 0.0000 0.5000 Pd
0.5000 0.0000 0.1597 Pd
0.0000 0.5000 0.8403 Pd
0.5000 0.5000 0.3298 Pd
0.0000 0.5000 0.5000 Pd
0.0000 0.5000 0.1597 Pd
0.5000 0.5000 0.0000 Pd
0.0000 0.0000 0.6690 Mg
0.0000 0.0000 0.3310 Mg
0.0000 0.0000 0.0000 Ni

=====

GGA-PBE Ba2TcBr, optimized geometry; E above lowest polymorph = 0.0459 eV/atom; M_tot = 1.67 μB/cell; symmetry = Amm2 (38); uncorrected formation energy = -0.076 eV/atom; V = 32.52 Å³/atom
1.0
-0.7977 6.1768 -1.6837
-1.0304 4.1332 -4.8454
-5.5180 -0.5100 0.7357
Ba Br Tc
2 1 1
direct
0.0118 0.0118 0.1252 Ba
0.7509 0.7509 0.6246 Ba
0.4869 0.4869 0.6254 Br
0.2504 0.2504 0.1248 Tc